# 1
# Pr5Y4, optimized geometry, DFT PBE-GGA
data_Pr5Y4
_symmetry_space_group_name_H-M 'I 4/m m m'
_symmetry_Int_Tables_number 139
_symmetry_space_group_name_Hall '-I 4 2'
_cell_length_a 10.9635
_cell_length_b 10.9635
_cell_length_c 5.1516
_cell_angle_alpha 90.00
_cell_angle_beta 90.00
_cell_angle_gamma 90.00
loop_
_atom_site_label
_atom_site_fract_x
_atom_site_fract_y
_atom_site_fract_z
Pr1 0.0000 0.0000 0.0000
Pr2 0.0000 0.3315 0.0000
Y1 0.1667 0.1667 0.5000
# energy of formation from the pure elements = 14.1 meV per atom
# total energy = -99.25 eV/cell

---

# 2
# AcThPa, optimized geometry, DFT PBE-GGA
data_AcThPa
_symmetry_space_group_name_H-M 'I 4 m m'
_symmetry_Int_Tables_number 107
_symmetry_space_group_name_Hall 'I 4 -2'
_cell_length_a 3.5152
_cell_length_b 3.5152
_cell_length_c 15.7148
_cell_angle_alpha 90.00
_cell_angle_beta 90.00
_cell_angle_gamma 90.00
loop_
_atom_site_label
_atom_site_fract_x
_atom_site_fract_y
_atom_site_fract_z
Ac1 0.0000 0.0000 0.0000
Th1 0.0000 0.0000 0.6844
Pa1 0.0000 0.0000 0.3340
# energy of formation from the pure elements = 277.8 meV per atom
# total energy = -40.38 eV/cell
# distance to the lowest polymorph of the same formula = 0 meV per atom

---

# 3
# SrHgW2, optimized geometry, DFT PBE-GGA
data_SrHgW2
_symmetry_space_group_name_H-M 'P m m 2'
_symmetry_Int_Tables_number 25
_symmetry_space_group_name_Hall 'P 2 -2'
_cell_length_a 3.3323
_cell_length_b 3.4017
_cell_length_c 7.9977
_cell_angle_alpha 90.00
_cell_angle_beta 90.00
_cell_angle_gamma 90.00
loop_
_atom_site_label
_atom_site_fract_x
_atom_site_fract_y
_atom_site_fract_z
Sr1 0.0000 0.0000 0.0000
Hg1 0.5000 0.5000 0.6992
W1 0.0000 0.0000 0.4487
W2 0.5000 0.5000 0.3114
# energy of formation from the pure elements = 512.3 meV per atom
# total energy = -25.84 eV/cell

---

# 4
# CaAcBiSb, optimized geometry, DFT PBE-GGA
data_CaAcBiSb
_symmetry_space_group_name_H-M 'F -4 3 m'
_symmetry_Int_Tables_number 216
_symmetry_space_group_name_Hall 'F -4 2 3'
_cell_length_a 8.1088
_cell_length_b 8.1088
_cell_length_c 8.1088
_cell_angle_alpha 90.00
_cell_angle_beta 90.00
_cell_angle_gamma 90.00
loop_
_atom_site_label
_atom_site_fract_x
_atom_site_fract_y
_atom_site_fract_z
Ca1 0.0000 0.0000 0.0000
Ac1 0.0000 0.0000 0.5000
Bi1 0.2500 0.2500 0.7500
Sb1 0.2500 0.2500 0.2500
# total energy = -69.14 eV/cell

---

# 5
# SrCaLa2Se4, optimized geometry, DFT PBE-GGA
data_SrCaLa2Se4
_symmetry_space_group_name_H-M 'P 1 2/m 1'
_symmetry_Int_Tables_number 10
_symmetry_space_group_name_Hall '-P 2y'
_cell_length_a 7.4432
_cell_length_b 4.2953
_cell_length_c 7.5576
_cell_angle_alpha 90.00
_cell_angle_beta 109.13
_cell_angle_gamma 90.00
loop_
_atom_site_label
_atom_site_fract_x
_atom_site_fract_y
_atom_site_fract_z
Sr1 0.0000 0.0000 0.0000
Ca1 0.5000 0.5000 0.0000
La1 0.0000 0.5000 0.5000
La2 0.5000 0.0000 0.5000
Se1 0.2557 0.5000 0.2493
Se2 0.2578 0.0000 0.7553
# total energy = -43.26 eV/cell

---

# 6
# PaO4, optimized geometry, DFT PBE-GGA
data_PaO4
_symmetry_space_group_name_H-M 'P m -3 m'
_symmetry_Int_Tables_number 221
_symmetry_space_group_name_Hall '-P 4 2 3'
_cell_length_a 4.3041
_cell_length_b 4.3041
_cell_length_c 4.3041
_cell_angle_alpha 90.00
_cell_angle_beta 90.00
_cell_angle_gamma 90.00
loop_
_atom_site_label
_atom_site_fract_x
_atom_site_fract_y
_atom_site_fract_z
Pa1 0.0000 0.0000 0.0000
O1 0.0000 0.0000 0.5000
O2 0.5000 0.5000 0.5000
# total energy = -37.91 eV/cell
# distance to the lowest polymorph of the same formula = 0 meV per atom